Computed, not measured: Mg30TiAlO32 after structural relaxation at the PBE-GGA level of DFT.

Unit cell a=8.5381 b=8.5381 c=8.5307 alpha=90.00 beta=90.00 gamma=90.00
Space group P4/mmm (No. 123)
Unique sites:
Mg: 0.0000 0.0000 0.0000 x1
Mg: 0.0000 0.2496 0.2499 x8
Mg: 0.0000 0.5000 0.0000 x2
Mg: 0.0000 0.5000 0.5000 x2
Mg: 0.2494 0.2494 0.0000 x4
Mg: 0.2486 0.2486 0.5000 x4
Mg: 0.2493 0.5000 0.2496 x8
Mg: 0.5000 0.5000 0.0000 x1
Ti: 0.0000 0.0000 0.5000 x1
Al: 0.5000 0.5000 0.5000 x1
O: 0.0000 0.0000 0.2410 x2
O: 0.0000 0.2522 0.0000 x4
O: 0.0000 0.2634 0.5000 x4
O: 0.0000 0.5000 0.2507 x4
O: 0.2507 0.2507 0.2504 x8
O: 0.2531 0.5000 0.0000 x4
O: 0.2674 0.5000 0.5000 x4
O: 0.5000 0.5000 0.2645 x2

Calculated values
For the uncorrected formation energy, the calculation gives -2.6400 eV per atom.